Entry 1:
Pm4Ni2Br5 PBE-GGA optimized geometry; ΔE_f (raw) = -1.146 eV/atom
1.0
11.4502 -2.0071 0.0000
11.4502 2.0071 0.0000
-0.1715 0.0000 8.3873
Pm Ni Br
4 2 5
Direct
0.0127 0.0127 0.2912
0.3439 0.3439 0.5374
0.6561 0.6561 0.4626
0.9873 0.9873 0.7088
0.4515 0.4515 0.4859
0.5485 0.5485 0.5141
0.1439 0.1439 0.2011
0.2120 0.2120 0.6742
0.5000 0.5000 0.0000
0.7880 0.7880 0.3258
0.8561 0.8561 0.7989



Entry 2:
Pm2NiBr PBE-GGA optimized geometry; ΔE_f (raw) = -0.636 eV/atom
1.0
3.4593 0.0000 0.0000
0.0000 3.4593 0.0000
0.0000 0.0000 8.1756
Pm Ni Br
2 1 1
Direct
0.0000 0.0000 0.2075
0.0000 0.0000 0.7925
0.5000 0.5000 0.0000
0.5000 0.5000 0.5000



| no. | total magnetic moment (μB/f.u.) | energy relative to the lowest polymorph listed for this composition (eV/atom) |
| --- | --- | --- |
| 1 | 0.0 | 0.000 |
| 2 | 0.0 | 0.174 |